1.
La7Pr2Tm (PBE-GGA, relaxed); calculated volume = 358 Å³/cell; total moment = 0.00 μB/f.u.; formation energy from the elements = 140 meV per atom
1.0
3.402 -14.964 0.000
3.402 14.964 0.000
0.000 0.000 3.520
La Pr Tm
7 2 1
Direct
0.000 0.000 0.000
0.167 0.364 0.000
0.189 0.811 0.500
0.364 0.167 0.000
0.636 0.833 0.000
0.811 0.189 0.500
0.833 0.636 0.000
0.292 0.708 0.000
0.708 0.292 0.000
0.500 0.500 0.500

=====

2.
LaPr4Tm3 (PBE-GGA, relaxed); calculated volume = 545 Å³/cell; total moment = 0.00 μB/f.u.; formation energy from the elements = 135 meV per atom
1.0
3.511 0.000 0.000
0.000 11.806 0.000
0.000 0.000 13.154
La Pr Tm
2 8 6
Direct
0.000 0.000 0.000
0.500 0.500 0.500
0.000 0.251 0.133
0.000 0.251 0.867
0.000 0.749 0.133
0.000 0.749 0.867
0.500 0.249 0.367
0.500 0.249 0.633
0.500 0.751 0.367
0.500 0.751 0.633
0.000 0.000 0.500
0.000 0.500 0.260
0.000 0.500 0.740
0.500 0.000 0.240
0.500 0.000 0.760
0.500 0.500 0.000

=====

3.
La10Pr4Tm (PBE-GGA, relaxed); calculated volume = 537 Å³/cell; total moment = 0.00 μB/f.u.; formation energy from the elements = 256 meV per atom
1.0
-5.062 5.062 5.242
5.062 -5.062 5.242
5.062 5.062 -5.242
La Pr Tm
10 4 1
Direct
0.038 0.726 0.083
0.045 0.962 0.688
0.250 0.750 0.500
0.274 0.357 0.312
0.357 0.045 0.083
0.643 0.955 0.917
0.726 0.643 0.688
0.750 0.250 0.500
0.955 0.038 0.312
0.962 0.274 0.917
0.177 0.550 0.727
0.450 0.177 0.628
0.550 0.823 0.372
0.823 0.450 0.273
0.500 0.500 0.000

=====

4.
La6PrTm4 (PBE-GGA, relaxed); calculated volume = 768 Å³/cell; total moment = 0.00 μB/f.u.; formation energy from the elements = 92 meV per atom
1.0
2.939 -4.950 0.000
2.939 4.950 0.000
0.000 0.000 26.382
La Pr Tm
12 2 8
Direct
0.000 0.000 0.000
0.000 0.000 0.500
0.030 0.970 0.750
0.317 0.683 0.094
0.317 0.683 0.406
0.357 0.643 0.681
0.357 0.643 0.819
0.643 0.357 0.181
0.643 0.357 0.319
0.683 0.317 0.594
0.683 0.317 0.906
0.970 0.030 0.250
0.308 0.692 0.250
0.692 0.308 0.750
0.022 0.978 0.625
0.022 0.978 0.875
0.341 0.659 0.546
0.341 0.659 0.954
0.659 0.341 0.046
0.659 0.341 0.454
0.978 0.022 0.125
0.978 0.022 0.375

=====

5.
La5Pr2Tm2 (PBE-GGA, relaxed); calculated volume = 636 Å³/cell; total moment = 0.00 μB/f.u.; formation energy from the elements = 140 meV per atom
1.0
-7.668 6.575 3.152
7.668 -6.575 3.152
7.668 6.575 -3.152
La Pr Tm
10 4 4
Direct
0.066 0.985 0.581
0.196 0.048 0.245
0.196 0.452 0.648
0.404 0.485 0.419
0.460 0.001 0.170
0.460 0.789 0.959
0.804 0.548 0.352
0.804 0.952 0.755
0.830 0.289 0.830
0.830 0.501 0.041
0.569 0.069 0.500
0.569 0.569 0.000
0.648 0.458 0.690
0.768 0.958 0.310
0.088 0.277 0.085
0.088 0.503 0.311
0.192 0.003 0.915
0.192 0.777 0.689

=====

6.
LaPr6Tm2 (PBE-GGA, relaxed); calculated volume = 627 Å³/cell; total moment = 0.00 μB/f.u.; formation energy from the elements = 78 meV per atom
1.0
8.585 -5.982 0.000
8.585 5.982 0.000
-0.758 0.000 6.099
La Pr Tm
2 12 4
Direct
0.160 0.840 0.750
0.840 0.160 0.250
0.006 0.784 0.206
0.119 0.339 0.378
0.216 0.994 0.294
0.327 0.544 0.452
0.339 0.119 0.878
0.456 0.673 0.048
0.544 0.327 0.952
0.661 0.881 0.122
0.673 0.456 0.548
0.784 0.006 0.706
0.881 0.661 0.622
0.994 0.216 0.794
0.183 0.478 0.916
0.478 0.183 0.416
0.522 0.817 0.584
0.817 0.522 0.084